First-principles (GGA-PBE) data for a relaxed TmTh2Pd crystal, as listed in Alexandria via LeMat-Bulk. Values from VASP.

Geometry as Quantum ESPRESSO input:
```
&SYSTEM
  ibrav = 0, nat = 4, ntyp = 3
/
ATOMIC_SPECIES
Tm 168.93 Tm.upf
Pd 106.42 Pd.upf
Th 232.04 Th.upf
CELL_PARAMETERS angstrom
-0.377 -3.405 0.452
2.701 -1.923 0.975
-1.858 -0.068 11.136
ATOMIC_POSITIONS crystal
Tm 0.000 0.000 0.000
Pd 0.500 0.500 0.500
Th 0.099 0.099 0.704
Th 0.901 0.901 0.296
```

Output
Space-group type: R-3m
Total magnetic moment (μB per cell): 0.00
Polymorph energy (0 for the lowest one) (meV/atom): 429.9